No. 1
DFT (PBE) results for crystalline YBePb at its relaxed geometry.

```
YBePb
1.0
-2.321 3.910 -0.387
-3.884 0.588 2.323
-0.144 2.923 3.501
Pb Y Be
1 1 1
Direct
0.000 0.000 0.000 Pb
0.500 0.500 0.500 Y
0.250 0.250 0.250 Be
```

- calculated volume (Å³/cell) = 67
- formation energy (eV per atom) = -0.07

=====

No. 2
DFT (PBE) results for crystalline BaPuBeN3 at its relaxed geometry.

```
BaPuBeN3
1.0
-1.546 -2.421 -1.925
1.678 -5.221 5.217
-6.656 2.871 1.735
Ba Pu Be N
2 2 2 6
Direct
0.250 0.203 0.247 Ba
0.750 0.797 0.753 Ba
0.250 0.676 0.165 Pu
0.750 0.324 0.835 Pu
0.250 0.069 0.601 Be
0.750 0.931 0.399 Be
0.750 0.864 0.158 N
0.250 0.136 0.842 N
0.250 0.846 0.463 N
0.750 0.154 0.537 N
0.750 0.472 0.142 N
0.250 0.528 0.858 N
```

- calculated volume (Å³/cell) = 186
- formation energy without anion corrections (meV per atom) = -951.8

=====

No. 3
DFT (PBE) results for crystalline Sc2BH at its relaxed geometry.

```
Sc2BH
1.0
4.680 0.000 0.000
0.000 4.680 0.000
2.340 2.340 5.755
Sc H B
4 2 2
Direct
0.610 0.125 0.250 Sc
0.140 0.625 0.250 Sc
0.375 0.390 0.750 Sc
0.875 0.860 0.750 Sc
0.500 0.500 0.000 H
0.250 0.750 0.500 H
0.000 0.000 0.000 B
0.750 0.250 0.500 B
```

- calculated volume (Å³/cell) = 126
- total DFT energy (no corrections) (eV/atom) = -5.67